A plane-wave DFT calculation with PBE+U was carried out for a relaxed structure of FeGeBiO5.

* V: 14.452 Å³/atom
* crystal system: monoclinic
* space group: C2/c
* electronic total energy: -6.1398 eV/atom

a = 5.5413 Å, b = 5.5413 Å, c = 8.3331 Å
α = 103.19°, β = 103.19°, γ = 103.55°
With the nearest neighbours (Å) after each atom.
Positions (direct):
Fe  0.3438  0.6562  0.2500  3 O 1.86-2.07
Fe  0.6562  0.3438  0.7500  3 O 1.86-2.07
Ge  0.6743  0.3257  0.2500  4 O 1.78-1.80
Ge  0.3257  0.6743  0.7500  4 O 1.78-1.80
Bi  0.0000  0.0000  0.5000  6 O 2.36-2.37
Bi  0.0000  0.0000  0.0000  6 O 2.36-2.37
O  0.1303  0.8697  0.2500  1 Fe 1.86
O  0.8697  0.1303  0.7500  1 Fe 1.86
O  0.9733  0.3649  0.1992  1 Ge 1.78
O  0.0267  0.6351  0.8008  1 Ge 1.78
O  0.6351  0.0267  0.3008  1 Ge 1.78
O  0.3649  0.9733  0.6992  1 Ge 1.78
O  0.6613  0.6002  0.4076  1 Ge 1.80
O  0.3387  0.3998  0.5924  1 Ge 1.80
O  0.3998  0.3387  0.0924  1 Ge 1.80
O  0.6002  0.6613  0.9076  1 Ge 1.80